(1)
{
  "formula": "InHg2Te",
  "functional": "PBE",
  "state": "relaxed",
  "lattice": [[-3.1115, -0.0929, -0.7324], [0.1469, -5.5596, 0.0814], [-1.4621, 0.0522, 6.2049]],
  "species": ["In", "Hg", "Hg", "Te"],
  "frac_coords": [[0.5000, 0.5000, 0.2500], [0.0000, 0.0000, 0.5025], [0.0000, 0.0000, 0.9975], [0.5000, 0.5000, 0.7500]],
  "n_ef_per_ev_atom": 0.58,
  "m_tot_mub_per_fu": 0.000
}



(2)
{
  "formula": "InHg2Te",
  "functional": "PBE",
  "state": "relaxed",
  "lattice": [[6.9677, 0.0343, -0.0083], [4.2954, 5.4863, 0.0083], [-5.5568, -2.9127, 3.0311]],
  "species": ["Hg", "In", "Hg", "Te"],
  "frac_coords": [[0.0300, 0.0300, 0.0000], [0.4692, 0.4692, 0.0000], [0.7203, 0.2203, 0.5000], [0.2805, 0.7805, 0.5000]],
  "n_ef_per_ev_atom": 0.20,
  "m_tot_mub_per_fu": 0.000
}



(3)
{
  "formula": "InHg2Te",
  "functional": "PBE",
  "state": "relaxed",
  "lattice": [[-8.0216, 8.9748, 0.0462], [-8.9542, 7.4768, 2.9691], [-6.4087, 9.7520, 2.9533]],
  "species": ["In", "Hg", "Hg", "Te"],
  "frac_coords": [[0.4970, 0.4970, 0.4970], [0.2477, 0.2477, 0.2477], [0.9987, 0.9987, 0.9987], [0.7566, 0.7566, 0.7566]],
  "n_ef_per_ev_atom": 0.61,
  "m_tot_mub_per_fu": 0.000
}



(4)
{
  "formula": "InHg2Te",
  "functional": "PBE",
  "state": "relaxed",
  "lattice": [[3.2916, 0.0301, 0.0000], [-0.9178, 3.1612, 0.0000], [0.0000, 0.0000, 11.1811]],
  "species": ["Hg", "In", "Te", "Hg"],
  "frac_coords": [[0.5000, 0.5000, 0.2531], [0.0000, 0.0000, 0.5021], [0.5000, 0.5000, 0.7354], [0.0000, 0.0000, 0.0094]],
  "n_ef_per_ev_atom": 0.32,
  "m_tot_mub_per_fu": 0.000
}



Which is the most stable structure? (2) is the most stable.



(1)
{
  "formula": "InHg2Te",
  "functional": "PBE",
  "state": "relaxed",
  "lattice": [[-1.8359, -2.0739, -3.4549], [3.7817, -2.1357, -0.7276], [-2.8382, -8.2017, 9.3232]],
  "species": ["Hg", "Hg", "Te", "Te", "Hg", "In", "In", "Hg"],
  "frac_coords": [[0.4354, 0.7500, 0.8781], [0.5646, 0.2500, 0.1219], [0.8198, 0.7500, 0.6362], [0.1802, 0.2500, 0.3638], [0.9412, 0.2500, 0.8901], [0.3057, 0.2500, 0.6077], [0.6943, 0.7500, 0.3923], [0.0588, 0.7500, 0.1099]],
  "n_ef_per_ev_atom": 0.25,
  "m_tot_mub_per_fu": 0.000
}



(2)
{
  "formula": "InHg2Te",
  "functional": "PBE",
  "state": "relaxed",
  "lattice": [[-4.0904, 0.9009, -3.0652], [-1.0840, -2.9906, 0.5675], [-3.4979, 2.4085, 5.3757]],
  "species": ["Hg", "Te", "Hg", "In"],
  "frac_coords": [[0.0000, 0.7433, 0.0183], [0.5000, 0.7500, 0.7500], [0.0000, 0.7567, 0.4817], [0.5000, 0.2500, 0.2500]],
  "n_ef_per_ev_atom": 0.38,
  "m_tot_mub_per_fu": 0.000
}



Which is the most stable structure? (1) is the most stable.



(1)
{
  "formula": "InHg2Te",
  "functional": "PBE",
  "state": "relaxed",
  "lattice": [[5.8267, -0.6135, 0.2243], [1.5875, 5.6397, -0.2243], [-2.9690, -3.6019, 3.5480]],
  "species": ["Hg", "Hg", "Te", "In"],
  "frac_coords": [[0.5008, 0.5008, 0.0000], [0.9992, 0.9992, 0.0000], [0.2500, 0.7500, 0.5000], [0.7500, 0.2500, 0.5000]],
  "n_ef_per_ev_atom": 0.36,
  "m_tot_mub_per_fu": 0.000
}



(2)
{
  "formula": "InHg2Te",
  "functional": "PBE",
  "state": "relaxed",
  "lattice": [[-0.6327, 8.0961, 1.8329], [0.0948, -1.8311, 8.1207], [3.0173, 3.3851, 4.9954]],
  "species": ["Hg", "In", "Te", "Hg", "In", "Hg", "Hg", "Te"],
  "frac_coords": [[0.8750, 0.8728, 0.7500], [0.5000, 0.5000, 0.0000], [0.0000, 0.0000, 0.0000], [0.6228, 0.1250, 0.2500], [0.2500, 0.7500, 0.5000], [0.1272, 0.6250, 0.2500], [0.3750, 0.3772, 0.7500], [0.7500, 0.2500, 0.5000]],
  "n_ef_per_ev_atom": 0.42,
  "m_tot_mub_per_fu": 0.000
}



(3)
{
  "formula": "InHg2Te",
  "functional": "PBE",
  "state": "relaxed",
  "lattice": [[6.0425, 0.0000, 0.0000], [0.0000, 3.2535, 0.2180], [0.0000, 2.4597, 6.2064]],
  "species": ["Te", "Hg", "In", "Hg"],
  "frac_coords": [[0.5000, 0.8763, 0.6243], [0.0000, 0.8729, 0.1258], [0.0000, 0.3756, 0.6257], [0.5000, 0.3752, 0.1243]],
  "n_ef_per_ev_atom": 0.27,
  "m_tot_mub_per_fu": 0.000
}



Which is the most stable structure? (2) is the most stable.



(1)
{
  "formula": "InHg2Te",
  "functional": "PBE",
  "state": "relaxed",
  "lattice": [[3.2185, 0.0186, 0.0000], [-0.8911, 3.0928, 0.0000], [0.0000, 0.0000, 11.1894]],
  "species": ["Hg", "Hg", "In", "Te"],
  "frac_coords": [[0.0000, 0.0000, 0.0072], [0.0000, 0.0000, 0.4928], [0.5000, 0.5000, 0.2500], [0.5000, 0.5000, 0.7500]],
  "n_ef_per_ev_atom": 0.37,
  "m_tot_mub_per_fu": 0.000
}



(2)
{
  "formula": "InHg2Te",
  "functional": "PBE",
  "state": "relaxed",
  "lattice": [[12.1189, 0.0269, 0.0157], [11.6616, 3.2977, 0.0157], [11.6616, 1.6303, 2.8666]],
  "species": ["Te", "Hg", "In", "Hg"],
  "frac_coords": [[0.7500, 0.7500, 0.7500], [0.9940, 0.9940, 0.9940], [0.2500, 0.2500, 0.2500], [0.5060, 0.5060, 0.5060]],
  "n_ef_per_ev_atom": 0.59,
  "m_tot_mub_per_fu": 0.000
}



Which is the most stable structure? (1) is the most stable.



(1)
{
  "formula": "InHg2Te",
  "functional": "PBE",
  "state": "relaxed",
  "lattice": [[0.0000, 3.8499, 3.8499], [3.8499, 0.0000, 3.8499], [3.8499, 3.8499, 0.0000]],
  "species": ["In", "Hg", "Hg", "Te"],
  "frac_coords": [[0.0000, 0.0000, 0.0000], [0.2500, 0.2500, 0.2500], [0.7500, 0.7500, 0.7500], [0.5000, 0.5000, 0.5000]],
  "n_ef_per_ev_atom": 0.52,
  "m_tot_mub_per_fu": 0.000
}



(2)
{
  "formula": "InHg2Te",
  "functional": "PBE",
  "state": "relaxed",
  "lattice": [[4.3755, -0.0341, -0.0015], [2.1666, 3.8015, -0.0015], [2.1552, 1.2411, 7.3659]],
  "species": ["In", "Hg", "Hg", "Te"],
  "frac_coords": [[0.5038, 0.5038, 0.4922], [0.0037, 0.0037, 0.9890], [0.7522, 0.7522, 0.7444], [0.2403, 0.2403, 0.2745]],
  "n_ef_per_ev_atom": 0.55,
  "m_tot_mub_per_fu": 0.000
}



Which is the most stable structure? (2) is the most stable.



(1)
{
  "formula": "InHg3Te4",
  "functional": "PBE",
  "state": "relaxed",
  "lattice": [[-3.6612, -0.4062, 3.0694], [-2.2332, -4.2106, 0.5241], [7.8464, -5.3488, 12.3964]],
  "species": ["Hg", "Hg", "In", "Te", "Te", "Te", "Hg", "Te"],
  "frac_coords": [[0.2466, 0.2466, 0.2601], [0.4991, 0.4991, 0.5027], [0.0009, 0.0009, 0.9972], [0.3124, 0.3124, 0.0627], [0.5626, 0.5626, 0.3123], [0.8134, 0.8134, 0.5597], [0.7510, 0.7510, 0.7469], [0.0638, 0.0638, 0.8086]],
  "n_ef_per_ev_atom": 0.31,
  "m_tot_mub_per_fu": 0.000
}



(2)
{
  "formula": "InHg3Te4",
  "functional": "PBE",
  "state": "relaxed",
  "lattice": [[-1.6798, -6.4780, -3.5327], [7.3750, -3.1588, 2.2856], [-3.9923, -3.4156, 8.1616]],
  "species": ["Hg", "In", "Te", "Hg", "Te", "Hg", "Te", "Hg", "Te", "In", "Hg", "Te", "Te", "Te", "Hg", "Te"],
  "frac_coords": [[0.0078, 0.6683, 0.7519], [0.5079, 0.8315, 0.5000], [0.1176, 0.3325, 0.7505], [0.5078, 0.3317, 0.7481], [0.1202, 0.8356, 0.0000], [0.5078, 0.3317, 0.2519], [0.6176, 0.6675, 0.2505], [0.0078, 0.6683, 0.2481], [0.1176, 0.3325, 0.2495], [0.0079, 0.1685, 0.0000], [0.5137, 0.8358, 0.0000], [0.6225, 0.1711, 0.0000], [0.6202, 0.1644, 0.5000], [0.6176, 0.6675, 0.7495], [0.0137, 0.1642, 0.5000], [0.1225, 0.8289, 0.5000]],
  "n_ef_per_ev_atom": 0.34,
  "m_tot_mub_per_fu": 0.000
}



Which is the most stable structure? (1) is the most stable.